AlReTcNi after structural relaxation. Source: OQMD via LeMat-Bulk, functional PBE.

```
data_AlReTcNi
_cell_length_a 6.005
_cell_length_b 6.005
_cell_length_c 6.005
_cell_angle_alpha 90.00
_cell_angle_beta 90.00
_cell_angle_gamma 90.00
_symmetry_space_group_name_H-M 'F -4 3 m'
_symmetry_Int_Tables_number 216
_symmetry_space_group_name_Hall 'F -4 2 3'
loop_
_atom_site_label
_atom_site_type_symbol
_atom_site_fract_x
_atom_site_fract_y
_atom_site_fract_z
Al1 Al 0.000 0.000 0.000
Re1 Re 0.000 0.000 0.500
Tc1 Tc 0.250 0.250 0.750
Ni1 Ni 0.250 0.250 0.250
```

Al2NiS4 after structural relaxation. Source: OQMD via LeMat-Bulk, functional PBE.

```
data_Al2NiS4
_cell_length_a 7.022
_cell_length_b 7.022
_cell_length_c 9.941
_cell_angle_alpha 90.00
_cell_angle_beta 90.00
_cell_angle_gamma 90.00
_symmetry_space_group_name_H-M 'P 41 2 2'
_symmetry_Int_Tables_number 91
loop_
_symmetry_equiv_pos_as_xyz
'x,y,z'
'-y,x,z+1/4'
'-x,-y,z+1/2'
'y,-x,z+3/4'
'x,-y,-z+1/2'
'-y,-x,-z+1/4'
'-x,y,-z'
'y,x,-z+3/4'
loop_
_atom_site_label
_atom_site_type_symbol
_atom_site_fract_x
_atom_site_fract_y
_atom_site_fract_z
Al1 Al 0.000 0.258 0.000
Al2 Al 0.250 0.250 0.375
Ni1 Ni 0.255 0.500 0.750
S1 S 0.019 0.251 0.758
S2 S 0.252 0.486 0.991
```

Y3AlNiS7 after structural relaxation. Source: OQMD via LeMat-Bulk, functional PBE.

```
data_Y3AlNiS7
_cell_length_a 9.5510
_cell_length_b 9.5510
_cell_length_c 6.1839
_cell_angle_alpha 90.00
_cell_angle_beta 90.00
_cell_angle_gamma 120.00
_symmetry_space_group_name_H-M 'P 63'
_symmetry_Int_Tables_number 173
loop_
_symmetry_equiv_pos_as_xyz
'x,y,z'
'x-y,x,z+1/2'
'-y,x-y,z'
'-x,-y,z+1/2'
'-x+y,-x,z'
'y,-x+y,z+1/2'
loop_
_atom_site_label
_atom_site_type_symbol
_atom_site_fract_x
_atom_site_fract_y
_atom_site_fract_z
Y1 Y 0.1550 0.3760 0.0000
Al1 Al 0.3333 0.6667 0.4272
Ni1 Ni 0.0000 0.0000 0.3290
S1 S 0.0887 0.5678 0.2727
S2 S 0.0997 0.2310 0.5936
S3 S 0.3333 0.6667 0.7896
```

Al2NiSb after structural relaxation. Source: OQMD via LeMat-Bulk, functional PBE.

```
data_Al2NiSb
_cell_length_a 6.531
_cell_length_b 6.531
_cell_length_c 6.531
_cell_angle_alpha 90.00
_cell_angle_beta 90.00
_cell_angle_gamma 90.00
_symmetry_space_group_name_H-M 'F -4 3 m'
_symmetry_Int_Tables_number 216
_symmetry_space_group_name_Hall 'F -4 2 3'
loop_
_atom_site_label
_atom_site_type_symbol
_atom_site_fract_x
_atom_site_fract_y
_atom_site_fract_z
Al1 Al 0.000 0.000 0.000
Al2 Al 0.250 0.250 0.250
Ni1 Ni 0.000 0.000 0.500
Sb1 Sb 0.250 0.250 0.750
```

Zr2AlNi4Sb after structural relaxation. Source: OQMD via LeMat-Bulk, functional PBE.

```
data_Zr2AlNi4Sb
_cell_length_a 4.1815
_cell_length_b 4.1815
_cell_length_c 8.1835
_cell_angle_alpha 90.00
_cell_angle_beta 90.00
_cell_angle_gamma 120.00
_symmetry_space_group_name_H-M 'P -3 m 1'
_symmetry_Int_Tables_number 164
_symmetry_space_group_name_Hall '-P 3 2"'
loop_
_atom_site_label
_atom_site_type_symbol
_atom_site_fract_x
_atom_site_fract_y
_atom_site_fract_z
Zr1 Zr 0.3333 0.6667 0.2604
Al1 Al 0.0000 0.0000 0.5000
Ni1 Ni 0.3333 0.6667 0.5819
Ni2 Ni 0.3333 0.6667 0.9035
Sb1 Sb 0.0000 0.0000 0.0000
```

Sc2AlNi2 after structural relaxation. Source: OQMD via LeMat-Bulk, functional PBE.

```
data_Sc2AlNi2
_cell_length_a 3.584
_cell_length_b 3.584
_cell_length_c 13.304
_cell_angle_alpha 90.00
_cell_angle_beta 90.00
_cell_angle_gamma 90.00
_symmetry_space_group_name_H-M 'I 4/m m m'
_symmetry_Int_Tables_number 139
_symmetry_space_group_name_Hall '-I 4 2'
loop_
_atom_site_label
_atom_site_type_symbol
_atom_site_fract_x
_atom_site_fract_y
_atom_site_fract_z
Sc1 Sc 0.000 0.000 0.115
Al1 Al 0.000 0.000 0.500
Ni1 Ni 0.000 0.500 0.250
```

Final energy across the listed records, respectively: -8.1627 -5.0162 -6.3462 -4.1134 -6.5026 -5.6462 eV per atom.